# 1
Density functional theory data (PBE-GGA) for a relaxed AcCd2Ag9 crystal.

Geometry as POSCAR:
```
AcCd2Ag9
1.0
2.8681 1.6559 8.9381
-2.8681 1.6559 8.9381
0.0000 -3.3118 8.9381
Ac Cd Ag
1 2 9
Cartesian
0.0000 0.0000 0.0000 Ac
0.0000 0.0000 3.8990 Cd
0.0000 0.0000 22.9153 Cd
-1.4603 -0.8431 11.2544 Ag
0.0000 0.0000 8.9544 Ag
0.0000 -1.6862 15.5599 Ag
-1.4603 0.8431 15.5599 Ag
0.0000 0.0000 13.4072 Ag
1.4603 -0.8431 11.2544 Ag
0.0000 1.6862 11.2544 Ag
0.0000 0.0000 17.8600 Ag
1.4603 0.8431 15.5599 Ag
```

- DOS(E_F) (states/eV per atom) = 0.4804
- energy relative to the elements (eV per atom) = -0.08
- electronic total energy (eV/atom) = -2.71
- offset from the most stable computed form (meV/atom) = 0.0
- magnetization (μB per formula unit) = 0.0
- crystal system = trigonal

---

# 2
Density functional theory data (PBE-GGA) for a relaxed Al3CdN crystal.

Geometry as POSCAR:
```
Al3CdN
1.0
4.9090 0.0000 0.0000
0.0000 4.9090 0.0000
0.0000 0.0000 4.9090
Al Cd N
3 1 1
Cartesian
0.0000 0.0000 2.4545 Al
0.0000 2.4545 0.0000 Al
2.4545 0.0000 0.0000 Al
0.0000 0.0000 0.0000 Cd
2.4545 2.4545 2.4545 N
```

- DOS(E_F) (states/eV per atom) = 0.5215
- electronic total energy (eV/atom) = -2.38
- offset from the most stable computed form (meV/atom) = 1575.8
- magnetization (μB per formula unit) = 0.0
- crystal system = cubic
- formation energy without anion corrections (eV/atom) = 1.7150

---

# 3
Density functional theory data (PBE-GGA) for a relaxed HgSbS2Br crystal.

Geometry as POSCAR:
```
HgSbS2Br
1.0
6.5936 0.0000 0.0000
0.0000 5.4526 0.0000
-1.0479 0.0000 8.6771
Hg Sb S Br
2 2 4 2
Cartesian
0.9552 1.3631 4.1175 Hg
4.5905 4.0894 4.5596 Hg
0.1313 1.3631 7.9088 Sb
5.4143 4.0894 0.7683 Sb
-0.1507 4.0894 3.0377 S
-0.0277 4.0894 8.3847 S
5.5734 1.3631 0.2925 S
5.6963 1.3631 5.6394 S
2.5616 4.0894 6.0404 Br
2.9840 1.3631 2.6367 Br
```

- DOS(E_F) (states/eV per atom) = 0.0000
- electronic total energy (eV/atom) = -3.14
- magnetization (μB per formula unit) = 0.0
- crystal system = monoclinic
- formation energy without anion corrections (eV/atom) = -0.2735

---

# 4
Density functional theory data (PBE-GGA) for a relaxed LaTa2Rh crystal.

Geometry as POSCAR:
```
LaTa2Rh
1.0
2.7113 -5.0584 0.0000
2.7113 5.0584 0.0000
0.0000 0.0000 2.9482
La Ta Rh
1 2 1
Cartesian
0.0000 0.0000 0.0000 La
1.3556 2.5292 1.4741 Ta
1.3556 -2.5292 1.4741 Ta
2.7113 0.0000 0.0000 Rh
```

- DOS(E_F) (states/eV per atom) = 1.0149
- energy relative to the elements (eV per atom) = 0.36
- electronic total energy (eV/atom) = -8.63
- offset from the most stable computed form (meV/atom) = 435.6
- magnetization (μB per formula unit) = 0.0
- crystal system = orthorhombic

---

electronic total energy of number 1 (AcCd2Ag9)? -2.71 eV/atom